Entry 1:
DFT (PBE-GGA) results for Ac2SmSn after structural relaxation.

Lattice parameters (Å, degrees): 4.452 4.452 7.360 90.00 90.00 90.00
Element x y z (fractional)
Ac  0.000  0.000  0.771
Sn  0.500  0.500  0.000
Sm  0.500  0.500  0.500
Ac  0.000  0.000  0.229

Properties
energy above the most stable polymorph in this dataset = 0.0587 eV/atom
ΔE_f = -0.285 eV/atom

Entry 2:
DFT (PBE-GGA) results for AcBe4Sn3O12 after structural relaxation.

Lattice parameters (Å, degrees): 6.507 6.507 6.507 104.61 104.61 104.61
Last column: magnetic moment on the atom in μB.
Element x y z (fractional)
Sn  0.000  0.557  0.443  -0.01
Be  0.500  0.939  0.061  0.00
Sn  0.443  0.000  0.557  -0.01
Be  0.939  0.061  0.500  0.00
Be  0.500  0.500  0.500  0.00
Be  0.061  0.500  0.939  0.00
O  0.349  0.651  0.500  0.07
O  0.777  0.032  0.635  0.10
Ac  0.000  0.000  0.000  0.01
O  0.968  0.223  0.365  0.10
O  0.032  0.635  0.777  0.10
O  0.651  0.500  0.349  0.07
O  0.500  0.091  0.909  0.04
Sn  0.557  0.443  0.000  -0.01
O  0.365  0.968  0.223  0.10
O  0.500  0.349  0.651  0.07
O  0.223  0.365  0.968  0.10
O  0.635  0.777  0.032  0.10
O  0.091  0.909  0.500  0.04
O  0.909  0.500  0.091  0.04

Properties
energy relative to the elements, uncorrected = -2.158 eV/atom

Entry 3:
DFT (PBE-GGA) results for SrScIn after structural relaxation.

Lattice parameters (Å, degrees): 4.994 4.994 8.183 90.00 90.00 90.00
Element x y z (fractional)
Sr  0.000  0.500  0.826
In  0.000  0.000  0.500
Sc  0.000  0.500  0.306
Sr  0.500  0.000  0.174
Sc  0.500  0.000  0.694
In  0.500  0.500  0.500

Properties
energy above the most stable polymorph in this dataset = 0.2523 eV/atom
ΔE_f = -0.062 eV/atom

Number 1: DOS(E_F) 1.149 states/eV per atom. Number 2: DOS(E_F) 0.562 states/eV per atom. Number 3: DOS(E_F) 0.688 states/eV per atom.